Here is crystalline Sm4CuAu at its relaxed geometry from Alexandria via LeMat-Bulk. Energies are from PBE.

Values from the calculation:
Calculated total energy   -4.55 eV per atom
D(E_F)   8.303 states/eV/f.u.
Crystal system   monoclinic
Volume   360.92 Å³/cell
ΔE_f   -171 meV per atom

abc: 7.0203 7.3701 6.9917
angles: 90.00 93.90 90.00
Space group P2_1/c (No. 14)
Unique sites:
Sm  0.1554  0.1609  0.1698 [4 per cell]
Sm  0.3399  0.6556  0.1252 [4 per cell]
Cu  0.0000  0.0000  0.5000 [2 per cell]
Au  0.5000  0.0000  0.0000 [2 per cell]